# 1
TaIn2Fe | PBE | optimized geometry

The structure in POSCAR format:
```
TaIn2Fe
1.0
-1.999 -3.885 0.543
1.236 -0.263 2.665
-3.856 2.499 3.688
Fe In Ta
1 2 1
Direct
0.500 0.750 0.750 Fe
0.000 0.924 0.991 In
0.000 0.576 0.509 In
0.500 0.250 0.250 Ta
```

## Properties
As for the excess energy over the best structure of this formula in the dataset: 1.041 eV/f.u. The density comes out at 10.467 g cm⁻³. As for the energy relative to the elements: 0.363 eV per atom.



# 2
Cs3CdBi | PBE | optimized geometry

The structure in POSCAR format:
```
Cs3CdBi
1.0
9.756 0.054 1.110
-4.742 8.527 -1.110
-3.857 -3.502 8.324
Cs Cd Bi
6 2 2
Direct
0.860 0.113 0.630 Cs
0.860 0.730 0.247 Cs
0.483 0.613 0.753 Cs
0.921 0.281 0.140 Cs
0.483 0.230 0.370 Cs
0.140 0.781 0.860 Cs
0.339 0.138 0.701 Cd
0.437 0.638 0.299 Cd
0.572 0.896 0.175 Bi
0.721 0.396 0.825 Bi
```

## Properties
As for the excess energy over the best structure of this formula in the dataset: 0.392 eV/f.u. The density comes out at 3.360 g cm⁻³. As for the energy relative to the elements: -0.196 eV per atom.



# 3
Ga2Co4Cu | PBE | optimized geometry

The structure in POSCAR format:
```
Ga2Co4Cu
1.0
2.512 0.000 -0.630
-0.239 3.796 -0.954
0.864 0.232 8.773
Co Cu Ga
4 1 2
Direct
0.146 0.146 0.291 Co
0.854 0.854 0.709 Co
0.768 0.268 0.536 Co
0.232 0.732 0.464 Co
0.000 0.000 0.000 Cu
0.595 0.595 0.191 Ga
0.405 0.405 0.809 Ga
```

## Properties
The density comes out at 8.438 g cm⁻³. As for the energy relative to the elements: -0.015 eV per atom.



# 4
Al2CuNi2 | PBE | optimized geometry

The structure in POSCAR format:
```
Al2CuNi2
1.0
-1.689 1.689 6.089
1.689 -1.689 6.089
1.689 1.689 -6.089
Al Cu Ni
2 1 2
Direct
0.608 0.608 0.000 Al
0.392 0.392 0.000 Al
0.000 0.000 0.000 Cu
0.250 0.750 0.500 Ni
0.750 0.250 0.500 Ni
```

## Properties
As for the excess energy over the best structure of this formula in the dataset: 1.820 eV/f.u. The density comes out at 5.617 g cm⁻³. As for the energy relative to the elements: -0.069 eV per atom.



# 5
Sm2ZrScSb4 | PBE | optimized geometry

The structure in POSCAR format:
```
Sm2ZrScSb4
1.0
-1.369 -0.842 3.991
4.414 -5.992 0.250
3.741 5.937 2.535
Sm Zr Sc Sb
2 1 1 4
Direct
0.500 0.000 0.500 Sm
0.000 0.500 0.500 Sm
0.000 0.000 0.000 Zr
0.500 0.500 0.000 Sc
0.500 0.244 0.230 Sb
0.500 0.756 0.770 Sb
0.000 0.257 0.771 Sb
0.000 0.743 0.229 Sb
```

## Properties
The density comes out at 6.805 g cm⁻³. For the formation energy from raw total energies, the calculation gives -971 meV per atom.



# 6
TmAlNi | PBE | optimized geometry

The structure in POSCAR format:
```
TmAlNi
1.0
4.228 0.000 0.000
0.000 7.584 0.000
0.000 0.000 6.600
Tm Al Ni
4 4 4
Direct
0.250 0.823 0.465 Tm
0.750 0.323 0.035 Tm
0.250 0.677 0.965 Tm
0.750 0.177 0.535 Tm
0.750 0.941 0.140 Al
0.750 0.559 0.640 Al
0.250 0.059 0.860 Al
0.250 0.441 0.360 Al
0.750 0.623 0.270 Ni
0.750 0.877 0.770 Ni
0.250 0.123 0.230 Ni
0.250 0.377 0.730 Ni
```

## Properties
The density comes out at 7.992 g cm⁻³. As for the energy relative to the elements: -0.632 eV per atom.



# 7
SmGdHg4 | PBE | optimized geometry

The structure in POSCAR format:
```
SmGdHg4
1.0
5.985 0.000 0.000
2.992 5.183 0.000
2.992 1.728 4.887
Gd Hg Sm
1 4 1
Direct
0.250 0.250 0.250 Gd
0.625 0.625 0.125 Hg
0.625 0.125 0.625 Hg
0.625 0.625 0.625 Hg
0.125 0.625 0.625 Hg
0.000 0.000 0.000 Sm
```

## Properties
The density comes out at 12.160 g cm⁻³. As for the energy relative to the elements: -0.248 eV per atom.



# 8
Na2Tl3MoS6 | PBE | optimized geometry

The structure in POSCAR format:
```
Na2Tl3MoS6
1.0
-3.568 5.132 -3.189
-3.158 -4.040 4.789
4.082 3.859 4.227
Na Tl Mo S
2 3 1 6
Direct
0.332 0.668 0.000 Na
0.668 0.332 0.000 Na
0.160 0.840 0.500 Tl
0.840 0.160 0.500 Tl
0.500 0.500 0.500 Tl
0.000 0.000 0.000 Mo
0.928 0.648 0.786 S
0.784 0.784 0.212 S
0.072 0.352 0.214 S
0.648 0.928 0.786 S
0.216 0.216 0.788 S
0.352 0.072 0.214 S
```

## Properties
The density comes out at 5.580 g cm⁻³. For the formation energy from raw total energies, the calculation gives -532 meV per atom.



# 9
Ba2NaCdPt | PBE | optimized geometry

The structure in POSCAR format:
```
Ba2NaCdPt
1.0
-4.183 -4.230 -1.471
2.545 -0.589 -5.544
3.308 -3.946 1.938
Na Ba Pt Cd
1 2 1 1
Direct
0.000 0.000 0.500 Na
0.000 0.500 0.000 Ba
0.500 0.000 0.000 Ba
0.000 0.000 0.000 Pt
0.500 0.500 0.500 Cd
```

## Properties
As for the excess energy over the best structure of this formula in the dataset: 0.345 eV/f.u. The density comes out at 4.863 g cm⁻³. As for the energy relative to the elements: -0.313 eV per atom.



# 10
KCa | PBE | optimized geometry

The structure in POSCAR format:
```
KCa
1.0
8.364 -0.043 0.024
4.294 6.494 0.013
0.997 0.627 3.928
Ca K
2 2
Direct
0.983 0.003 0.007 Ca
0.934 0.580 0.743 Ca
0.497 0.510 0.497 K
0.420 0.074 0.253 K
```

## Properties
The density comes out at 1.229 g cm⁻³. As for the energy relative to the elements: 0.175 eV per atom.



# 11
Pr3Ga4Ir4 | PBE | optimized geometry

The structure in POSCAR format:
```
Pr3Ga4Ir4
1.0
-3.504 0.586 2.573
-2.207 -2.584 -2.417
6.475 -8.784 7.077
Pr Ga Ir
3 4 4
Direct
0.355 0.855 0.711 Pr
0.645 0.145 0.289 Pr
0.000 0.000 0.000 Pr
0.252 0.252 0.504 Ga
0.098 0.598 0.196 Ga
0.902 0.402 0.804 Ga
0.748 0.748 0.496 Ga
0.804 0.304 0.608 Ir
0.450 0.450 0.899 Ir
0.550 0.550 0.101 Ir
0.196 0.696 0.392 Ir
```

## Properties
The density comes out at 10.553 g cm⁻³. As for the energy relative to the elements: -0.659 eV per atom.



# 12
CaSi2Se | PBE | optimized geometry

The structure in POSCAR format:
```
CaSi2Se
1.0
3.789 0.003 0.000
-0.003 3.789 0.000
0.000 0.000 5.979
Ca Se Si
1 1 2
Direct
0.500 0.500 0.250 Ca
0.500 0.500 0.750 Se
0.000 0.000 0.944 Si
0.000 0.000 0.556 Si
```

## Properties
The density comes out at 3.390 g cm⁻³. For the formation energy from raw total energies, the calculation gives -43 meV per atom.